DFT (PBE) results for crystalline YErCdCu at its relaxed geometry.

Lattice parameters (Å, degrees): 7.218 7.218 7.218 90.00 90.00 90.00
Space group F-43m (No. 216)
Unique sites:
1 Y 0.000 0.000 0.000 x4
2 Er 0.000 0.000 0.500 x4
3 Cd 0.250 0.250 0.750 x4
4 Cu 0.250 0.250 0.250 x4

Computed properties:
- energy of formation from the pure elements (meV per atom) = -240
- offset from the most stable computed form (eV per atom) = 0.048
- DOS at the Fermi energy (states/eV per cell) = 14.56
- calculated volume (Å³ per cell) = 376.1


DFT (PBE) results for crystalline Yb2CuRh at its relaxed geometry.

Lattice parameters (Å, degrees): 6.756 6.756 6.756 90.00 90.00 90.00
Space group Fm-3m (No. 225)
Unique sites:
1 Yb 0.250 0.250 0.250 x8
2 Cu 0.000 0.000 0.000 x4
3 Rh 0.000 0.000 0.500 x4

Computed properties:
- energy of formation from the pure elements (meV per atom) = -473
- DOS at the Fermi energy (states/eV per cell) = 6.50
- calculated volume (Å³ per cell) = 308.4


DFT (PBE) results for crystalline Sr6Zn2Sn at its relaxed geometry.

Lattice parameters (Å, degrees): 10.722 11.171 11.439 90.00 90.00 90.00
Space group Immm (No. 71)
Unique sites:
1 Sr 0.000 0.192 0.249 x8
2 Sr 0.198 0.500 0.169 x8
3 Sr 0.228 0.322 0.500 x8
4 Zn 0.000 0.339 0.000 x4
5 Zn 0.000 0.500 0.388 x4
6 Sn 0.000 0.000 0.000 x2
7 Sn 0.000 0.000 0.500 x2

Computed properties:
- energy of formation from the pure elements (meV per atom) = -269
- DOS at the Fermi energy (states/eV per cell) = 26.12
- calculated volume (Å³ per cell) = 1370.2


DFT (PBE) results for crystalline TbPr5Nd2Tm at its relaxed geometry.

Lattice parameters (Å, degrees): 8.649 8.649 17.064 90.00 90.00 90.00
Space group I4/mcm (No. 140)
Unique sites:
1 Tb 0.000 0.000 0.250 x4
2 Pr 0.000 0.000 0.000 x4
3 Pr 0.220 0.280 0.144 x16
4 Nd 0.122 0.378 0.500 x8
5 Tm 0.000 0.500 0.250 x4

Computed properties:
- energy of formation from the pure elements (meV per atom) = 275
- DOS at the Fermi energy (states/eV per cell) = 54.69
- calculated volume (Å³ per cell) = 1276.4


DFT (PBE) results for crystalline PmZn2Rh2 at its relaxed geometry.

Lattice parameters (Å, degrees): 4.094 4.094 21.884 90.00 90.00 90.00
Space group I4/mmm (No. 139)
Unique sites:
1 Pm 0.000 0.000 0.130 x4
2 Zn 0.000 0.000 0.318 x4
3 Zn 0.000 0.500 0.000 x4
4 Rh 0.000 0.000 0.431 x4
5 Rh 0.000 0.500 0.250 x4

Computed properties:
- energy of formation from the pure elements (meV per atom) = -515
- DOS at the Fermi energy (states/eV per cell) = 10.41
- calculated volume (Å³ per cell) = 366.8


DFT (PBE) results for crystalline Al2AgHg2I6 at its relaxed geometry.

Lattice parameters (Å, degrees): 7.6474 7.6474 9.2538 90.00 90.00 120.00
Space group P-3 (No. 147)
Unique sites:
1 Al 0.3333 0.6667 0.2062 x2
2 Ag 0.0000 0.0000 0.5000 x1
3 Hg 0.3333 0.6667 0.9232 x2
4 I 0.0181 0.6849 0.2975 x6

Computed properties:
- DOS at the Fermi energy (states/eV per cell) = 3.49
- calculated volume (Å³ per cell) = 468.7
- raw formation energy (eV per atom) = -0.31


Q: Among the records above, which one has the highest calculated volume?
A: Sr6Zn2Sn